Entry 1:
VASP calculation (GGA-PBE) on an optimized crystal structure of ThHg5.

## Properties
Size of the total moment = 0.00 Bohr magnetons per cell
Energy of formation = -3.2 kcal/mol of atoms

abc: 4.7450 13.0943 4.8717
angles: 90.00 90.00 90.00
Last column: nearest neighbours and their distance in Å.
Space group Cmmm (No. 65)
Symmetry-distinct sites (fractional):
Th (0.0000, 0.0000, 0.0000)  12 Hg 3.27-3.40
Hg (0.0000, 0.1666, 0.5000)  10 Hg 3.22-3.40, 2 Th 3.27
Hg (0.0000, 0.3274, 0.0000)  10 Hg 3.12-3.40, 2 Th 3.28
Hg (0.0000, 0.5000, 0.5000)  8 Hg 3.22-3.32, 4 Th 3.40

Entry 2:
VASP calculation (GGA-PBE) on an optimized crystal structure of Th2TiHg.

## Properties
Size of the total moment = 0.00 Bohr magnetons per cell
Energy of formation = 0.7 kcal/mol of atoms

abc: 3.3705 3.3705 9.3868
angles: 90.00 90.00 90.00
Last column: nearest neighbours and their distance in Å.
Space group P4/mmm (No. 123)
Symmetry-distinct sites (fractional):
Th (0.0000, 0.0000, 0.2339)  4 Ti 3.24, 4 Th 3.37, 4 Hg 3.45
Ti (0.5000, 0.5000, 0.0000)  8 Th 3.24, 4 Ti 3.37
Hg (0.5000, 0.5000, 0.5000)  4 Hg 3.37, 8 Th 3.45

Entry 3:
VASP calculation (GGA-PBE) on an optimized crystal structure of Th2TiHg.

## Properties
Size of the total moment = 3.46 Bohr magnetons per cell
Energy of formation = 7.9 kcal/mol of atoms

abc: 3.3016 3.3016 34.4589
angles: 90.00 90.00 120.00
Last column: nearest neighbours and their distance in Å.
Space group R-3m (No. 166, hexagonal axes)
Symmetry-distinct sites (fractional):
Th (0.0000, 0.0000, 0.0852)  1 Ti 2.94
Ti (0.0000, 0.0000, 0.0000)  2 Th 2.94
Hg (0.0000, 0.0000, 0.5000)  6 Hg 3.30, 6 Th 3.39

Entry 4:
VASP calculation (GGA-PBE) on an optimized crystal structure of ThTiHg2.

## Properties
Size of the total moment = 1.04 Bohr magnetons per cell
Energy of formation = -1.6 kcal/mol of atoms

abc: 3.3328 3.3328 8.2982
angles: 90.00 90.00 90.00
Last column: nearest neighbours and their distance in Å.
Space group P4/mmm (No. 123)
Symmetry-distinct sites (fractional):
Th (0.0000, 0.0000, 0.0000)  4 Th 3.33, 8 Hg 3.35
Ti (0.0000, 0.0000, 0.5000)  8 Hg 2.95
Hg (0.5000, 0.5000, 0.2861)  4 Ti 2.95

Entry 5:
VASP calculation (GGA-PBE) on an optimized crystal structure of ThTiHg2.

## Properties
Size of the total moment = 0.10 Bohr magnetons per cell
Energy of formation = 0.2 kcal/mol of atoms

abc: 4.5126 4.5126 4.6227
angles: 90.00 90.00 90.00
Last column: nearest neighbours and their distance in Å.
Space group P4/mmm (No. 123)
Symmetry-distinct sites (fractional):
Th (0.0000, 0.0000, 0.0000)  4 Ti 3.19, 8 Hg 3.23
Ti (0.5000, 0.5000, 0.0000)  4 Th 3.19, 8 Hg 3.23
Hg (0.0000, 0.5000, 0.5000)  4 Hg 3.19, 4 Th 3.23, 4 Ti 3.23

Entry 6:
VASP calculation (GGA-PBE) on an optimized crystal structure of Th2TiHg.

## Properties
Size of the total moment = 0.00 Bohr magnetons per cell
Energy of formation = 1.4 kcal/mol of atoms

abc: 4.7620 4.7620 4.5912
angles: 90.00 90.00 90.00
Last column: nearest neighbours and their distance in Å.
Space group P4/mmm (No. 123)
Symmetry-distinct sites (fractional):
Th (0.0000, 0.5000, 0.0000)  4 Hg 3.31, 4 Ti 3.31, 4 Th 3.37
Ti (0.0000, 0.0000, 0.5000)  8 Th 3.31, 4 Hg 3.37
Hg (0.5000, 0.5000, 0.5000)  8 Th 3.31, 4 Ti 3.37

Entry 7:
VASP calculation (GGA-PBE) on an optimized crystal structure of ThTiHg2.

## Properties
Size of the total moment = 9.93 Bohr magnetons per cell
Energy of formation = -0.7 kcal/mol of atoms

abc: 7.3188 7.3188 7.3188
angles: 90.00 90.00 90.00
Last column: nearest neighbours and their distance in Å.
Space group Fm-3m (No. 225)
Symmetry-distinct sites (fractional):
Th (0.0000, 0.0000, 0.0000)  8 Hg 3.17
Ti (0.0000, 0.0000, 0.5000)  8 Hg 3.17
Hg (0.2500, 0.2500, 0.2500)  4 Th 3.17, 4 Ti 3.17

Entry 8:
VASP calculation (GGA-PBE) on an optimized crystal structure of ThTiTlHg.

## Properties
Size of the total moment = 9.45 Bohr magnetons per cell
Energy of formation = 0.9 kcal/mol of atoms

abc: 7.3831 7.3831 7.3831
angles: 90.00 90.00 90.00
Last column: nearest neighbours and their distance in Å.
Space group F-43m (No. 216)
Symmetry-distinct sites (fractional):
Th (0.0000, 0.0000, 0.0000)  4 Hg 3.20, 4 Tl 3.20
Ti (0.0000, 0.0000, 0.5000)  4 Hg 3.20, 4 Tl 3.20
Tl (0.2500, 0.2500, 0.2500)  4 Th 3.20, 4 Ti 3.20
Hg (0.2500, 0.2500, 0.7500)  4 Th 3.20, 4 Ti 3.20